Entry 1:
# Cl

An optimized crystal structure of Cl (PBE-GGA, the Alexandria database).

a = 12.1151 Å, b = 12.1151 Å, c = 4.2795 Å
α = 90.00°, β = 90.00°, γ = 90.00°
Last column: nearest neighbours and their distance in Å.
Space group I4/m (No. 87)
Inequivalent atoms, fractional coordinates:
1 Cl 0.0675 0.7186 0.0000 [8 per cell]  1 Cl 2.02
2 Cl 0.0800 0.2036 0.0000 [8 per cell]  1 Cl 2.02

Values from the calculation:
energy above the lowest structure with this stoichiometry = 0.012 eV/atom
formation energy from raw total energies = 0.01 eV per atom

Entry 2:
# KCoSi2

An optimized crystal structure of KCoSi2 (PBE-GGA, the Alexandria database).

a = 2.9024 Å, b = 2.9024 Å, c = 8.0610 Å
α = 90.00°, β = 90.00°, γ = 90.00°
Last column: nearest neighbours and their distance in Å.
Space group P4/mmm (No. 123)
Inequivalent atoms, fractional coordinates:
1 K 0.0000 0.0000 0.0000 [1 per cell]  4 K 2.90
2 Co 0.0000 0.0000 0.5000 [1 per cell]  8 Si 2.46
3 Si 0.5000 0.5000 0.3322 [2 per cell]  4 Co 2.46, 1 Si 2.70

Values from the calculation:
energy above the lowest structure with this stoichiometry = 0.041 eV/atom
formation energy from raw total energies = 0.02 eV per atom

Entry 3:
# HoVP2

An optimized crystal structure of HoVP2 (PBE-GGA, the Alexandria database).

a = 4.0616 Å, b = 4.0616 Å, c = 22.5421 Å
α = 90.00°, β = 90.00°, γ = 120.00°
Last column: nearest neighbours and their distance in Å.
Space group R-3m (No. 166, hexagonal axes)
Inequivalent atoms, fractional coordinates:
1 Ho 0.0000 0.0000 0.0000 [3 per cell]  6 P 2.78
2 V 0.0000 0.0000 0.5000 [3 per cell]  2 P 2.26
3 P 0.0000 0.0000 0.3996 [6 per cell]  1 V 2.26

Values from the calculation:
DFT formation energy = 0.02 eV per atom

Entry 4:
# Cs2NaCdSe

An optimized crystal structure of Cs2NaCdSe (PBE-GGA, the Alexandria database).

a = 7.1331 Å, b = 7.1331 Å, c = 5.4655 Å
α = 90.00°, β = 90.00°, γ = 90.00°
Last column: nearest neighbours and their distance in Å.
Space group P4/mmm (No. 123)
Inequivalent atoms, fractional coordinates:
1 Cs 0.0000 0.5000 0.0000 [2 per cell]  2 Se 3.57
2 Na 0.0000 0.0000 0.5000 [1 per cell]  2 Se 2.73
3 Cd 0.5000 0.5000 0.5000 [1 per cell]  8 Cs 4.49
4 Se 0.0000 0.0000 0.0000 [1 per cell]  2 Na 2.73

Values from the calculation:
formation energy from raw total energies = -0.51 eV per atom

Entry 5:
# Cd3Pb5Cl16

An optimized crystal structure of Cd3Pb5Cl16 (PBE-GGA, the Alexandria database).

a = 14.4992 Å, b = 8.2089 Å, c = 13.1770 Å
α = 90.00°, β = 92.07°, γ = 90.00°
Last column: nearest neighbours and their distance in Å.
Space group Cm (No. 8)
Inequivalent atoms, fractional coordinates:
1 Cd 0.0000 0.0000 0.0000 [2 per cell]  6 Cl 2.68-2.70
2 Cd 0.4161 0.2500 0.4959 [4 per cell]  6 Cl 2.66-2.74
3 Pb 0.1595 0.0000 0.2723 [2 per cell]  6 Cl 2.91-2.99
4 Pb 0.1661 0.5000 0.5006 [2 per cell]  6 Cl 2.90-2.96
5 Pb 0.2487 0.2507 0.9992 [4 per cell]  6 Cl 2.90-2.95
6 Pb 0.4913 0.0000 0.7618 [2 per cell]  6 Cl 2.89-2.96
7 Cl 0.0632 0.2635 0.6226 [4 per cell]  1 Cd 2.66, 2 Pb 2.89-2.96
8 Cl 0.0830 0.2252 0.1212 [4 per cell]  1 Cd 2.70, 2 Pb 2.91-2.95
9 Cl 0.1478 0.0000 0.8835 [2 per cell]  1 Cd 2.68, 2 Pb 2.92
10 Cl 0.1709 0.5000 0.8653 [2 per cell]  3 Pb 2.90
11 Cl 0.2607 0.2583 0.3826 [4 per cell]  1 Cd 2.66, 2 Pb 2.90-2.93
12 Cl 0.3153 0.0000 0.1383 [2 per cell]  3 Pb 2.90-2.92
13 Cl 0.3450 0.0000 0.6070 [2 per cell]  2 Cd 2.74, 1 Pb 2.89
14 Cl 0.3459 0.5000 0.6043 [2 per cell]  2 Cd 2.72, 1 Pb 2.90
15 Cl 0.3497 0.5000 0.1137 [2 per cell]  1 Cd 2.69, 2 Pb 2.91
16 Cl 0.4179 0.2643 0.8893 [4 per cell]  1 Cd 2.68, 2 Pb 2.90-2.96
17 Cl 0.4857 0.0000 0.3887 [2 per cell]  2 Cd 2.71, 1 Pb 2.96
18 Cl 0.4889 0.5000 0.3929 [2 per cell]  2 Cd 2.70, 1 Pb 2.99

Values from the calculation:
formation energy from raw total energies = -1.11 eV per atom

Entry 6:
# CaLa5In6

An optimized crystal structure of CaLa5In6 (PBE-GGA, the Alexandria database).

a = 5.5599 Å, b = 16.7329 Å, c = 7.8832 Å
α = 90.00°, β = 90.00°, γ = 90.00°
Last column: nearest neighbours and their distance in Å.
Space group Cmmm (No. 65)
Inequivalent atoms, fractional coordinates:
1 Ca 0.0000 0.0000 0.0000 [2 per cell]  8 In 3.35-3.41
2 La 0.0000 0.0000 0.5000 [2 per cell]  8 In 3.41
3 La 0.0000 0.3299 0.5000 [4 per cell]  8 In 3.44-3.46
4 La 0.0000 0.3368 0.0000 [4 per cell]  8 In 3.37-3.47
5 In 0.0000 0.1638 0.2436 [8 per cell]  1 Ca 3.35, 7 La 3.38-3.47
6 In 0.0000 0.5000 0.2495 [4 per cell]  6 La 3.37-3.46, 2 Ca 3.41

Values from the calculation:
DFT formation energy = -0.51 eV per atom

Number 1: energy -1.834 eV/atom. Number 2: energy -4.739 eV/atom. Number 3: energy -6.108 eV/atom. Number 4: energy -1.993 eV/atom. Number 5: energy -3.232 eV/atom. Number 6: energy -4.099 eV/atom.